(1)
DFT (PBE-GGA) results for a relaxed Ce12CoSn6 crystal.

## Properties
Energy of formation from the pure elements (meV/atom): -289
N(E_F) (states/eV/cell): 46.32
Crystal system: trigonal
Space group: R-3

Lattice parameters (Å, degrees): 7.9058 7.9058 7.9058 89.44 89.44 89.44
Last column: nearest neighbours and their distance in Å.
Sites, in units of the cell vectors:
Sn (0.7403, 0.9022, 0.2652)  1 Co 3.02, 2 Sn 3.11, 6 Ce 3.18-3.37
Sn (0.2597, 0.0978, 0.7348)  1 Co 3.02, 2 Sn 3.11, 6 Ce 3.18-3.37
Ce (0.4130, 0.7795, 0.5022)  2 Ce 2.78
Sn (0.0978, 0.7348, 0.2597)  1 Co 3.02, 2 Sn 3.11, 6 Ce 3.18-3.37
Ce (0.5022, 0.4130, 0.7795)  2 Ce 2.78
Ce (0.5870, 0.2205, 0.4978)  2 Ce 2.78
Ce (0.7795, 0.5022, 0.4130)  2 Ce 2.78
Ce (0.6447, 0.9329, 0.8543)  2 Ce 2.87, 1 Co 3.10
Ce (0.3553, 0.0671, 0.1457)  2 Ce 2.87, 1 Co 3.10
Ce (0.8543, 0.6447, 0.9329)  2 Ce 2.87, 1 Co 3.10
Sn (0.7348, 0.2597, 0.0978)  1 Co 3.02, 2 Sn 3.11, 6 Ce 3.18-3.37
Co (0.0000, 0.0000, 0.0000)  6 Sn 3.02, 6 Ce 3.10
Ce (0.4978, 0.5870, 0.2205)  2 Ce 2.78
Ce (0.1457, 0.3553, 0.0671)  2 Ce 2.87, 1 Co 3.10
Ce (0.2205, 0.4978, 0.5870)  2 Ce 2.78
Sn (0.2652, 0.7403, 0.9022)  1 Co 3.02, 2 Sn 3.11, 6 Ce 3.18-3.37
Ce (0.9329, 0.8543, 0.6447)  2 Ce 2.87, 1 Co 3.10
Sn (0.9022, 0.2652, 0.7403)  1 Co 3.02, 2 Sn 3.11, 6 Ce 3.18-3.37
Ce (0.0671, 0.1457, 0.3553)  2 Ce 2.87, 1 Co 3.10

***

(2)
DFT (PBE-GGA) results for a relaxed CeCoSn2 crystal.

## Properties
Energy of formation from the pure elements (meV/atom): 178
N(E_F) (states/eV/cell): 7.35
Crystal system: trigonal
Space group: R-3m

Lattice parameters (Å, degrees): 3.1866 3.1866 10.5436 81.31 81.31 60.00
Last column: nearest neighbours and their distance in Å.
Sites, in units of the cell vectors:
Co (0.5000, 0.5000, 0.5000)  6 Sn 2.67
Ce (0.0000, 0.0000, 0.0000)  6 Ce 3.19, 2 Sn 3.26
Sn (0.1046, 0.1046, 0.6863)  3 Co 2.67
Sn (0.8954, 0.8954, 0.3137)  3 Co 2.67

***

(3)
DFT (PBE-GGA) results for a relaxed Ce4CoSn8 crystal.

## Properties
Energy of formation from the pure elements (meV/atom): -531
N(E_F) (states/eV/cell): 22.06
Crystal system: orthorhombic
Space group: Pmm2

Lattice parameters (Å, degrees): 4.4655 4.5362 16.8199 90.00 90.00 90.00
Last column: nearest neighbours and their distance in Å.
Sites, in units of the cell vectors:
Sn (0.0000, 0.5000, 0.9348)  2 Sn 3.08, 4 Ce 3.23
Ce (0.5000, 0.5000, 0.3937)  8 Sn 3.34-3.49, 4 Co 3.51
Sn (0.0000, 0.0000, 0.7524)  4 Sn 3.18, 4 Ce 3.35-3.36
Sn (0.0000, 0.0000, 0.4534)  1 Co 2.49
Ce (0.0000, 0.0000, 0.0979)  10 Sn 3.22-3.56, 1 Co 3.49
Ce (0.0000, 0.5000, 0.6048)  10 Sn 3.23-3.41
Sn (0.5000, 0.5000, 0.7544)  4 Sn 3.18, 4 Ce 3.35-3.36
Co (0.0000, 0.0000, 0.3056)  5 Sn 2.49-2.55
Sn (0.5000, 0.0000, 0.2357)  2 Co 2.52
Sn (0.0000, 0.5000, 0.2369)  2 Co 2.55
Ce (0.5000, 0.0000, 0.9010)  10 Sn 3.23-3.52
Sn (0.5000, 0.5000, 0.0609)  2 Sn 3.08, 4 Ce 3.24
Sn (0.5000, 0.0000, 0.5715)  2 Sn 2.99, 4 Ce 3.23

***

(4)
DFT (PBE-GGA) results for a relaxed Ce2CoSn crystal.

## Properties
Energy of formation from the pure elements (meV/atom): -444
N(E_F) (states/eV/cell): 25.25
Crystal system: orthorhombic
Space group: Pnma

Lattice parameters (Å, degrees): 4.6313 6.6797 12.1207 90.00 90.00 90.00
Last column: nearest neighbours and their distance in Å.
Sites, in units of the cell vectors:
Ce (0.0625, 0.9007, 0.6893)  1 Co 2.27
Sn (0.5625, 0.6996, 0.8801)  2 Co 2.68
Co (0.5624, 0.0987, 0.1233)  2 Ce 2.27-2.42
Ce (0.0624, 0.8262, 0.0723)  1 Co 2.42
Ce (0.5624, 0.6738, 0.5723)  1 Co 2.42
Co (0.0624, 0.9013, 0.8767)  2 Ce 2.27-2.42
Ce (0.5624, 0.1738, 0.9277)  1 Co 2.42
Co (0.0624, 0.4013, 0.6233)  2 Ce 2.27-2.42
Ce (0.0624, 0.3262, 0.4277)  1 Co 2.42
Co (0.5624, 0.5987, 0.3767)  2 Ce 2.27-2.42
Sn (0.5625, 0.1996, 0.6199)  2 Co 2.68
Sn (0.0625, 0.8004, 0.3801)  2 Co 2.68
Ce (0.5625, 0.5993, 0.1893)  1 Co 2.27
Sn (0.0625, 0.3004, 0.1199)  2 Co 2.68
Ce (0.5625, 0.0993, 0.3107)  1 Co 2.27
Ce (0.0625, 0.4007, 0.8107)  1 Co 2.27

***

(5)
DFT (PBE-GGA) results for a relaxed Ce7Co2Sn crystal.

## Properties
Energy of formation from the pure elements (meV/atom): -66
N(E_F) (states/eV/cell): 28.97
Crystal system: orthorhombic
Space group: Cmmm

Lattice parameters (Å, degrees): 4.8546 7.9533 7.9533 113.12 90.00 90.00
Last column: nearest neighbours and their distance in Å.
Sites, in units of the cell vectors:
Ce (0.5000, 0.9577, 0.7061)  2 Co 2.94-3.00, 1 Ce 2.95, 2 Sn 3.29
Sn (0.0000, 0.0000, 0.0000)  8 Ce 3.29
Co (0.5000, 0.6821, 0.3179)  3 Ce 2.42-2.46
Ce (0.5000, 0.0423, 0.2939)  2 Co 2.94-3.00, 1 Ce 2.95, 2 Sn 3.29
Ce (0.0000, 0.2891, 0.7109)  2 Co 2.46
Ce (0.5000, 0.2939, 0.0423)  2 Co 2.94-3.00, 1 Ce 2.95, 2 Sn 3.29
Ce (0.5000, 0.7061, 0.9577)  2 Co 2.94-3.00, 1 Ce 2.95, 2 Sn 3.29
Ce (0.5000, 0.5000, 0.5000)  2 Co 2.42
Ce (0.0000, 0.7109, 0.2891)  2 Co 2.46
Co (0.5000, 0.3179, 0.6821)  3 Ce 2.42-2.46

***

(6)
DFT (PBE-GGA) results for a relaxed Ce3CoSn crystal.

## Properties
Relative energy among the computed polymorphs (eV/atom): 0.0000
Energy of formation from the pure elements (meV/atom): -354
N(E_F) (states/eV/cell): 14.92
Crystal system: cubic
Space group: Pm-3m

Lattice parameters (Å, degrees): 5.1306 5.1306 5.1306 90.00 90.00 90.00
Last column: nearest neighbours and their distance in Å.
Sites, in units of the cell vectors:
Sn (0.5000, 0.5000, 0.5000)  12 Ce 3.63
Ce (0.0000, 0.5000, 0.0000)  2 Co 2.57
Co (0.0000, 0.0000, 0.0000)  6 Ce 2.57
Ce (0.5000, 0.0000, 0.0000)  2 Co 2.57
Ce (0.0000, 0.0000, 0.5000)  2 Co 2.57

***

(7)
DFT (PBE-GGA) results for a relaxed CeZnCoSn crystal.

## Properties
Energy of formation from the pure elements (meV/atom): -243
N(E_F) (states/eV/cell): 4.18
Crystal system: cubic
Space group: F-43m

Lattice parameters (Å, degrees): 4.7366 4.7366 4.7366 60.00 60.00 60.00
Last column: nearest neighbours and their distance in Å.
Sites, in units of the cell vectors:
Sn (0.2500, 0.2500, 0.2500)  4 Zn 2.90, 4 Co 2.90
Co (0.0000, 0.0000, 0.0000)  4 Sn 2.90, 4 Ce 2.90
Zn (0.5000, 0.5000, 0.5000)  4 Ce 2.90, 4 Sn 2.90
Ce (0.7500, 0.7500, 0.7500)  4 Co 2.90, 4 Zn 2.90

***

(8)
DFT (PBE-GGA) results for a relaxed SrCe2Co crystal.

## Properties
Energy of formation from the pure elements (meV/atom): 116
N(E_F) (states/eV/cell): 11.03
Crystal system: trigonal
Space group: R-3m

Lattice parameters (Å, degrees): 3.8292 3.8292 10.6398 79.63 79.63 60.00
Last column: nearest neighbours and their distance in Å.
Sites, in units of the cell vectors:
Ce (0.1187, 0.1187, 0.6438)  3 Co 2.67
Sr (0.0000, 0.0000, 0.0000)  2 Ce 3.71, 6 Sr 3.83
Ce (0.8813, 0.8813, 0.3562)  3 Co 2.67
Co (0.5000, 0.5000, 0.5000)  6 Ce 2.67

***

(9)
DFT (PBE-GGA) results for a relaxed SrCeCo crystal.

## Properties
Energy of formation from the pure elements (meV/atom): -31
N(E_F) (states/eV/cell): 13.86
Crystal system: monoclinic
Space group: C2/m

Lattice parameters (Å, degrees): 4.7086 7.5682 11.2879 106.14 102.04 90.00
Last column: nearest neighbours and their distance in Å.
Sites, in units of the cell vectors:
Sr (0.9217, 0.6471, 0.8433)  1 Co 3.09
Co (0.6914, 0.2889, 0.3827)  1 Ce 2.13
Co (0.3086, 0.7111, 0.6173)  1 Ce 2.13
Ce (0.2198, 0.9187, 0.4396)  1 Co 2.24
Ce (0.7802, 0.0813, 0.5604)  1 Co 2.24
Sr (0.0783, 0.3529, 0.1567)  1 Co 3.09
Co (0.1879, 0.1737, 0.3758)  2 Ce 2.24-2.49
Sr (0.4119, 0.0873, 0.8238)  3 Co 3.10-3.44
Co (0.8121, 0.8263, 0.6242)  2 Ce 2.24-2.49
Sr (0.5881, 0.9127, 0.1762)  3 Co 3.10-3.44
Ce (0.2905, 0.4191, 0.5810)  1 Co 2.13
Ce (0.7095, 0.5809, 0.4190)  1 Co 2.13

***

(10)
DFT (PBE-GGA) results for a relaxed CeTaCo crystal.

## Properties
Energy of formation from the pure elements (meV/atom): -101
N(E_F) (states/eV/cell): 10.33
Crystal system: tetragonal
Space group: P4/nmm

Lattice parameters (Å, degrees): 4.3733 4.3733 6.2198 90.00 90.00 90.00
Last column: nearest neighbours and their distance in Å.
Sites, in units of the cell vectors:
Ta (0.5000, 0.5000, 0.5000)  4 Co 2.49
Co (0.0000, 0.5000, 0.3100)  4 Ta 2.49, 1 Ce 2.58
Ce (0.0000, 0.5000, 0.8954)  1 Co 2.58
Co (0.5000, 0.0000, 0.6900)  4 Ta 2.49, 1 Ce 2.58
Ta (0.0000, 0.0000, 0.5000)  4 Co 2.49
Ce (0.5000, 0.0000, 0.1046)  1 Co 2.58

***

| no. | uncorrected energy (eV per atom) |
| --- | --- |
| 1 | -5.68 |
| 2 | -5.08 |
| 3 | -5.37 |
| 4 | -6.19 |
| 5 | -6.04 |
| 6 | -6.14 |
| 7 | -4.82 |
| 8 | -5.05 |
| 9 | -4.94 |
| 10 | -8.40 |